The following is a DFT calculation (PBE) of a relaxed TbSmThZr crystal.

Fermi-level density of states = 6.45 states/eV/cell
ΔH_f (0 K) = 0.1796 eV/atom
crystal system = cubic

abc: 5.5037 5.5037 5.5037
angles: 60.00 60.00 60.00
With the nearest neighbours (Å) after each atom.
Sites, in units of the cell vectors:
Tb (0.0000, 0.0000, 0.0000)  4 Sm 3.37, 4 Th 3.37
Sm (0.7500, 0.7500, 0.7500)  4 Zr 3.37, 4 Tb 3.37
Th (0.2500, 0.2500, 0.2500)  4 Zr 3.37, 4 Tb 3.37
Zr (0.5000, 0.5000, 0.5000)  4 Sm 3.37, 4 Th 3.37

---

The following is a DFT calculation (PBE) of a relaxed Mg4CdIn6 crystal.

Fermi-level density of states = 5.78 states/eV/cell
ΔH_f (0 K) = 0.0271 eV/atom
crystal system = tetragonal

abc: 8.8074 8.8074 8.8074
angles: 139.76 139.76 58.21
With the nearest neighbours (Å) after each atom.
Sites, in units of the cell vectors:
Mg (0.1307, 0.1307, 0.6077)  5 In 2.96-3.21, 1 Cd 3.15
Mg (0.4770, 0.8693, 0.0000)  5 In 2.96-3.21, 1 Cd 3.15
Mg (0.5230, 0.5230, 0.3923)  5 In 2.96-3.21, 1 Cd 3.15
Mg (0.8693, 0.4770, 0.0000)  5 In 2.96-3.21, 1 Cd 3.15
Cd (0.5000, 0.5000, 0.0000)  8 In 3.03-3.38, 4 Mg 3.15
In (0.0000, 0.5000, 0.5000)  4 In 3.03, 2 Cd 3.03
In (0.0541, 0.6767, 0.0000)  5 Mg 2.96-3.21, 3 In 3.03-3.23
In (0.3233, 0.3233, 0.3774)  5 Mg 2.96-3.21, 3 In 3.03-3.23
In (0.5000, 0.0000, 0.5000)  4 In 3.03, 2 Cd 3.03
In (0.6767, 0.0541, 0.0000)  5 Mg 2.96-3.21, 3 In 3.03-3.23
In (0.9459, 0.9459, 0.6226)  5 Mg 2.96-3.21, 3 In 3.03-3.23